Here is MnH2I8 after structural relaxation from Alexandria via LeMat-Bulk. Energies are from PBE.

Properties
uncorrected energy	-28.580	eV for the cell shown
size of the total moment	0.4192	μB per atom

a b c (Å): 4.867 11.733 11.733
angles (deg): 58.28 112.37 112.37
Last column: magnetic moment on the atom in μB.
Fractional positions:
I  0.125  0.281  0.281  0.00
I  0.995  0.567  0.567  0.03
I  0.305  0.252  0.933  0.08
I  0.305  0.933  0.252  0.08
I  0.695  0.748  0.067  0.08
I  0.695  0.067  0.748  0.08
I  0.005  0.433  0.433  0.03
I  0.875  0.719  0.719  0.00
H  0.782  0.213  0.213  0.00
H  0.218  0.787  0.787  0.00
Mn  0.000  0.000  0.000  3.69



Here is MnHI2 after structural relaxation from Alexandria via LeMat-Bulk. Energies are from PBE.

Properties
uncorrected energy	-11.435	eV for the cell shown
size of the total moment	0.0018	μB per atom

a b c (Å): 4.680 4.680 4.680
angles (deg): 60.00 60.00 60.00
Last column: magnetic moment on the atom in μB.
Fractional positions:
Mn  0.500  0.500  0.500  0.58
I  0.250  0.250  0.250  -0.11
I  0.750  0.750  0.750  -0.11
H  0.000  0.000  0.000  -0.15



Here is Mn3HI after structural relaxation from Alexandria via LeMat-Bulk. Energies are from PBE.

Properties
uncorrected energy	-29.637	eV for the cell shown
relative energy among the computed polymorphs	0.000	eV/atom
size of the total moment	2.0332	μB per atom

a b c (Å): 4.059 4.059 4.059
angles (deg): 90.00 90.00 90.00
Last column: magnetic moment on the atom in μB.
Fractional positions:
Mn  0.000  0.500  0.000  3.31
Mn  0.000  0.000  0.500  3.35
Mn  0.500  0.000  0.000  3.07
I  0.500  0.500  0.500  0.08
H  0.000  0.000  0.000  -0.03



Here is MnH3I after structural relaxation from Alexandria via LeMat-Bulk. Energies are from PBE.

Properties
uncorrected energy	-17.694	eV for the cell shown
relative energy among the computed polymorphs	0.000	eV/atom
size of the total moment	0.6245	μB per atom

a b c (Å): 3.834 3.834 3.834
angles (deg): 90.00 90.00 90.00
Last column: magnetic moment on the atom in μB.
Fractional positions:
Mn  0.000  0.000  0.000  3.63
H  0.500  0.000  0.000  -0.10
H  0.000  0.000  0.500  -0.07
H  0.000  0.500  0.000  -0.10
I  0.500  0.500  0.500  -0.19



Here is MnH2I3 after structural relaxation from Alexandria via LeMat-Bulk. Energies are from PBE.

Properties
uncorrected energy	-41.849	eV for the cell shown
size of the total moment	0.6665	μB per atom

a b c (Å): 15.982 13.187 6.951
angles (deg): 33.32 34.88 36.09
Last column: magnetic moment on the atom in μB.
Fractional positions:
I  0.415  0.348  0.164  0.00
I  0.205  0.055  0.505  0.05
I  0.795  0.945  0.495  0.05
I  0.927  0.292  0.127  0.02
I  0.585  0.652  0.836  0.00
I  0.073  0.708  0.873  0.02
H  0.835  0.268  0.715  -0.09
H  0.528  0.223  0.327  0.00
H  0.472  0.777  0.673  0.00
H  0.165  0.732  0.285  -0.09
Mn  0.954  0.058  0.749  3.72
Mn  0.046  0.942  0.251  3.72



Here is Mn3HI after structural relaxation from Alexandria via LeMat-Bulk. Energies are from PBE.

Properties
uncorrected energy	-23.344	eV for the cell shown
relative energy among the computed polymorphs	1.259	eV/atom
size of the total moment	2.2009	μB per atom

a b c (Å): 4.961 4.961 4.961
angles (deg): 90.00 90.00 90.00
Last column: magnetic moment on the atom in μB.
Fractional positions:
Mn  0.500  0.000  0.000  3.83
Mn  0.000  0.500  0.000  3.51
Mn  0.000  0.000  0.500  3.30
I  0.000  0.000  0.000  -0.10
H  0.500  0.500  0.500  0.17